(1)
The following is a PBE calculation of crystalline Er3Tm6Th at its relaxed geometry, from Alexandria.

Its theoretical density is 9.35 g/cm3. For the energy above the most stable polymorph in this dataset, the calculation gives 0.00 eV/f.u. The total magnetic moment comes out at 0.00 μB/f.u. The formation energy from the elements is 0.150 eV per atom.

It has space group Cmc2_1 (No. 36), with a = 9.298 Å, b = 15.074 Å, c = 8.860 Å, α = 90.00°, β = 90.00° and γ = 90.00°. The inequivalent atoms are Er at (0.000, 0.051, 0.000), Er at (0.175, 0.355, 0.512), Tm at (0.000, 0.216, 0.741), Tm at (0.000, 0.446, 0.873), Tm at (0.179, 0.148, 0.356), Tm at (0.245, 0.441, 0.185) and Th at (0.000, 0.276, 0.106).

=====

(2)
The following is a PBE calculation of crystalline Er5Tm2Th at its relaxed geometry, from Alexandria.

Its theoretical density is 9.50 g/cm3. The total magnetic moment comes out at 0.00 μB/f.u. The formation energy from the elements is 0.027 eV per atom.

It has space group Pbam (No. 55), with a = 7.029 Å, b = 14.087 Å, c = 4.963 Å, α = 90.00°, β = 90.00° and γ = 90.00°. The inequivalent atoms are Er at (0.000, 0.000, 0.000), Er at (0.001, 0.251, 0.000), Er at (0.247, 0.376, 0.500), Tm at (0.245, 0.624, 0.500) and Th at (0.000, 0.500, 0.000).

=====

(3)
The following is a PBE calculation of crystalline Er2Tm7Th2 at its relaxed geometry, from Alexandria.

Its theoretical density is 9.51 g/cm3. For the energy above the most stable polymorph in this dataset, the calculation gives 0.07 eV/f.u. The total magnetic moment comes out at 0.00 μB/f.u. The formation energy from the elements is 0.188 eV per atom.

It has space group C2/m (No. 12), with a = 11.182 Å, b = 11.401 Å, c = 5.932 Å, α = 90.00°, β = 113.78° and γ = 90.00°. The inequivalent atoms are Er at (0.237, 0.000, 0.085), Tm at (0.000, 0.000, 0.500), Tm at (0.093, 0.500, 0.307), Tm at (0.174, 0.233, 0.668) and Th at (0.000, 0.211, 0.000).

=====

(4)
The following is a PBE calculation of crystalline Er4Tm4Th at its relaxed geometry, from Alexandria.

Its theoretical density is 9.50 g/cm3. The total magnetic moment comes out at 0.00 μB/f.u. The formation energy from the elements is 0.031 eV per atom.

It has space group I4/mmm (No. 139), with a = 10.533 Å, b = 10.533 Å, c = 4.966 Å, α = 90.00°, β = 90.00° and γ = 90.00°. The inequivalent atoms are Er at (0.000, 0.332, 0.000), Tm at (0.165, 0.165, 0.500) and Th at (0.000, 0.000, 0.000).

=====

Please write out number 3 again, unchanged.
The following is a PBE calculation of crystalline Er2Tm7Th2 at its relaxed geometry, from Alexandria.

Its theoretical density is 9.51 g/cm3. For the energy above the most stable polymorph in this dataset, the calculation gives 0.07 eV/f.u. The total magnetic moment comes out at 0.00 μB/f.u. The formation energy from the elements is 0.188 eV per atom.

It has space group C2/m (No. 12), with a = 11.182 Å, b = 11.401 Å, c = 5.932 Å, α = 90.00°, β = 113.78° and γ = 90.00°. The inequivalent atoms are Er at (0.237, 0.000, 0.085), Tm at (0.000, 0.000, 0.500), Tm at (0.093, 0.500, 0.307), Tm at (0.174, 0.233, 0.668) and Th at (0.000, 0.211, 0.000).